Record 1
# CrRe2Ru

A relaxed CrRe2Ru crystal (PBE, Alexandria via LeMat-Bulk).

abc: 4.335 4.335 4.337
angles: 60.01 60.01 60.00
Fractional positions:
Cr1 0.500 0.500 0.500
Re1 0.000 0.000 0.000
Re2 0.250 0.250 0.250
Ru1 0.750 0.750 0.750

Calculated values
As for the relative energy among the computed polymorphs: 131 meV/atom. For the formation energy from the elements, the calculation gives 229 meV per atom.

***

Record 2
# AcNd5Ag6

A relaxed AcNd5Ag6 crystal (PBE, Alexandria via LeMat-Bulk).

abc: 5.393 7.498 8.558
angles: 90.00 108.85 90.00
Fractional positions:
Ac1 0.000 0.000 0.000
Nd1 0.665 0.500 0.332
Nd2 0.332 0.000 0.664
Nd3 0.000 0.500 0.000
Nd4 0.668 0.000 0.336
Nd5 0.335 0.500 0.668
Ag1 0.829 0.744 0.658
Ag2 0.829 0.256 0.658
Ag3 0.500 0.264 0.000
Ag4 0.500 0.736 0.000
Ag5 0.171 0.744 0.342
Ag6 0.171 0.256 0.342

Calculated values
For the formation energy from the elements, the calculation gives -250 meV per atom.